Entry 1:
Tl4TcIr, optimized geometry, DFT PBE; symmetry = F-43m, No. 216
1.0
-2.166 0.486 5.576
-4.070 4.221 1.281
-5.678 -1.560 1.160
Tl Tc Ir
4 1 1
direct
0.874 0.375 0.375
0.375 0.375 0.874
0.375 0.874 0.375
0.375 0.375 0.375
0.000 0.000 0.000
0.750 0.750 0.750

***

Entry 2:
Tl2TcIr, optimized geometry, DFT PBE; symmetry = Cm, No. 8; excess energy over the best structure of this formula in the dataset = 0.2193 eV/atom
1.0
5.590 0.004 0.007
4.797 2.870 0.007
1.794 0.496 4.762
Ir Tc Tl
1 1 2
direct
0.531 0.531 0.550
0.221 0.221 0.196
0.978 0.978 0.073
0.770 0.770 0.681

***

Entry 3:
Tl2TcIr, optimized geometry, DFT PBE; symmetry = P2/m, No. 10; excess energy over the best structure of this formula in the dataset = 0.3690 eV/atom
1.0
-0.489 -2.791 1.156
5.280 -0.322 1.457
2.501 1.599 4.919
Ir Tc Tl
1 1 2
direct
0.500 0.500 0.500
0.000 0.000 0.500
0.000 0.000 0.000
0.500 0.500 0.000

***

Entry 4:
TlTcIr2, optimized geometry, DFT PBE; symmetry = Fmmm, No. 69; excess energy over the best structure of this formula in the dataset = 0.2299 eV/atom
1.0
4.890 -0.055 0.001
1.595 4.622 -0.001
-3.242 -2.284 2.866
Ir Tc Tl
2 1 1
direct
0.000 0.000 0.000
0.500 0.500 0.000
0.750 0.250 0.500
0.250 0.750 0.500

***

Entry 5:
TlTcIr2, optimized geometry, DFT PBE; symmetry = R-3m, No. 166; excess energy over the best structure of this formula in the dataset = 0.1541 eV/atom
1.0
-0.696 -7.205 5.977
1.404 -8.232 4.288
2.047 -6.474 6.482
Ir Tc Tl
2 1 1
direct
0.992 0.992 0.992
0.508 0.508 0.508
0.250 0.250 0.250
0.750 0.750 0.750

***

Entry 6:
TlTc2Ir, optimized geometry, DFT PBE; symmetry = P4/mmm, No. 123; excess energy over the best structure of this formula in the dataset = 0.1094 eV/atom
1.0
-0.975 -2.531 0.785
1.832 -1.248 -1.749
5.566 -0.275 6.028
Ir Tc Tl
1 2 1
direct
0.500 0.500 0.750
0.000 0.000 0.977
0.000 0.000 0.523
0.500 0.500 0.250

***

no.,DOS at the Fermi energy (states/eV per atom),energy relative to the elements (eV/atom)
1,0.864,1.362
2,0.344,0.584
3,0.852,0.733
4,0.785,0.435
5,0.931,0.359
6,1.210,0.437